The following is a GGA-PBE calculation of a geometry-optimized TlSi2Cl structure, from the Alexandria database.

Unit cell a=6.399 b=6.399 c=6.399 alpha=150.94 beta=135.76 gamma=53.81
Fractional positions:
Tl 0.000 0.000 0.000
Si 0.230 0.730 0.500
Si 0.770 0.270 0.500
Cl 0.500 0.500 0.000



The following is a GGA-PBE calculation of a geometry-optimized TlSiCl2 structure, from the Alexandria database.

Unit cell a=5.979 b=5.979 c=5.979 alpha=143.32 beta=121.86 gamma=70.74
Fractional positions:
Tl 0.000 0.000 0.000
Si 0.500 0.500 0.000
Cl 0.319 0.819 0.500
Cl 0.681 0.181 0.500



The following is a GGA-PBE calculation of a geometry-optimized YTlSiCl2 structure, from the Alexandria database.

Unit cell a=4.942 b=4.942 c=5.871 alpha=90.00 beta=90.00 gamma=90.00
Fractional positions:
Y 0.000 0.000 0.000
Tl 0.500 0.500 0.000
Si 0.000 0.000 0.500
Cl 0.000 0.500 0.500
Cl 0.500 0.000 0.500



The following is a GGA-PBE calculation of a geometry-optimized Tm2SiCl structure, from the Alexandria database.

Unit cell a=7.456 b=7.456 c=7.456 alpha=31.17 beta=31.17 gamma=31.17
Fractional positions:
Tm 0.000 0.000 0.000
Tm 0.196 0.196 0.196
Si 0.597 0.597 0.597
Cl 0.770 0.770 0.770



Computed E_form (uncorrected), in the same sequence as the records: 404 -336 -221 -984 meV/atom.